# 1
The following is a DFT calculation (PBE-GGA) of TaCrP3 after structural relaxation.

Structure (extended XYZ):
```
5
Lattice="4.765 0.000 0.000 0.000 4.765 0.000 0.000 0.000 4.765" Properties=species:S:1:pos:R:3 pbc="T T T"
Cr 2.383 2.383 2.383
P 0.000 2.383 0.000
P 0.000 0.000 2.383
P 2.383 0.000 0.000
Ta 0.000 0.000 0.000
```

Summary:
The calculated formation energy is 1.08 eV/atom.

# 2
The following is a DFT calculation (PBE-GGA) of LaSc5 after structural relaxation.

Structure (extended XYZ):
```
6
Lattice="0.000 4.374 4.374 4.374 0.000 4.374 4.374 4.374 0.000" Properties=species:S:1:pos:R:3 pbc="T T T"
La 0.000 0.000 0.000
Sc 3.294 3.294 5.454
Sc 2.187 2.187 2.187
Sc 5.454 5.454 5.454
Sc 5.454 3.294 3.294
Sc 3.294 5.454 3.294
```

Summary:
The calculated formation energy is 0.26 eV/atom.

Question: calculated formation energy of number 2 (LaSc5)?
Answer: 0.26 eV/atom